! Li2ScTlI6 | the Alexandria database | PBE | relaxed; values from VASP
&SYSTEM
  ibrav = 0, nat = 10, ntyp = 4
/
ATOMIC_SPECIES
I 126.90 I.upf
Tl 204.38 Tl.upf
Li 6.94 Li.upf
Sc 44.96 Sc.upf
ATOMIC_POSITIONS angstrom
I -7.5164 -5.7364 0.8723
I -4.8420 -3.4396 3.5690
I -3.5283 -7.4604 2.8064
I -7.0387 -9.1734 3.4077
I -5.2378 -7.2685 6.3649
I -8.6900 -5.0474 5.0970
Tl -9.8248 -8.4056 5.1760
Li -6.2374 -6.1888 3.6335
Li -0.6158 -7.7057 3.2636
Sc -3.8278 -1.7798 1.4047
CELL_PARAMETERS angstrom
-5.2069 -1.0741 5.5747
-6.4469 -3.9548 -1.4598
-0.6048 -7.7291 3.2727
! Total moment, μB per atom: 0.000
! Formation energy without anion corrections, eV per formula unit: -10.7